DFT (PBE) results for ReSiF3 after structural relaxation.

Output
SG: Pm-3m
E above lowest polymorph (meV per atom): 16

a b c (Å): 4.1796 4.1796 4.1796
angles (deg): 90.00 90.00 90.00
Last column: nearest neighbours and their distance in Å.
Sites, in units of the cell vectors:
Re  0.0000  0.0000  0.0000  6 F 2.09
Si  0.5000  0.5000  0.5000  12 F 2.96
F  0.0000  0.5000  0.0000  2 Re 2.09
F  0.0000  0.0000  0.5000  2 Re 2.09
F  0.5000  0.0000  0.0000  2 Re 2.09

***

DFT (PBE) results for TlPb3S4 after structural relaxation.

Output
SG: Pmmm
E above lowest polymorph (meV per atom): 0

a b c (Å): 4.2291 5.9259 8.4806
angles (deg): 90.00 90.00 90.00
Last column: nearest neighbours and their distance in Å.
Sites, in units of the cell vectors:
Pb  0.5000  0.5000  0.2503  6 S 2.96-3.00
Pb  0.0000  0.0000  0.5000  6 S 2.96
Pb  0.5000  0.5000  0.7497  6 S 2.96-3.00
Tl  0.0000  0.0000  0.0000  6 S 2.96-3.03
S  0.0000  0.5000  0.5000  6 Pb 2.96-2.99
S  0.5000  0.0000  0.7447  4 Pb 2.96, 2 Tl 3.03
S  0.0000  0.5000  0.0000  2 Tl 2.96, 4 Pb 3.00
S  0.5000  0.0000  0.2553  4 Pb 2.96, 2 Tl 3.03

***

DFT (PBE) results for Tl3In3SnBr8 after structural relaxation.

Output
SG: C2/m

a b c (Å): 9.4450 9.4486 9.4832
angles (deg): 119.92 90.00 119.99
Last column: nearest neighbours and their distance in Å.
Sites, in units of the cell vectors:
Tl  0.0000  0.0000  0.0000  6 Br 3.36-3.37
Tl  0.0000  0.5000  0.0000  6 Br 3.36-3.37
Tl  0.5000  0.5000  0.0000  6 Br 3.36-3.37
In  0.5000  0.0000  0.5000  6 Br 3.33-3.35
In  0.5000  0.5000  0.5000  6 Br 3.33-3.35
In  0.0000  0.5000  0.5000  6 Br 3.33-3.35
Sn  0.0000  0.0000  0.5000  6 Br 3.04
Br  0.2510  0.5020  0.2531  3 In 3.33, 3 Tl 3.36
Br  0.7490  0.4980  0.7469  3 In 3.33, 3 Tl 3.36
Br  0.7726  0.5452  0.2744  1 Sn 3.04, 2 In 3.35, 2 Tl 3.37
Br  0.2274  0.4548  0.7256  1 Sn 3.04, 2 In 3.35, 2 Tl 3.37
Br  0.7727  0.0018  0.2746  1 Sn 3.04, 2 In 3.35, 2 Tl 3.37
Br  0.2273  0.9982  0.7254  1 Sn 3.04, 2 In 3.35, 2 Tl 3.37
Br  0.2291  0.0018  0.2746  1 Sn 3.04, 2 In 3.35, 2 Tl 3.37
Br  0.7709  0.9982  0.7254  1 Sn 3.04, 2 In 3.35, 2 Tl 3.37

***

DFT (PBE) results for Dy3Tm3Ni4 after structural relaxation.

Output
SG: Amm2
ΔH_f (0 K) (eV per atom): -0.3490

a b c (Å): 3.8612 7.4427 7.4427
angles (deg): 90.09 90.00 90.00
Last column: nearest neighbours and their distance in Å.
Sites, in units of the cell vectors:
Dy  0.0000  0.5011  0.9993  4 Ni 2.91-2.97
Dy  0.0000  0.0007  0.4989  4 Ni 2.91-2.97
Dy  0.5000  0.1627  0.8373  6 Ni 2.91-2.98
Tm  0.5000  0.8342  0.1658  6 Ni 2.90-2.93
Tm  0.5000  0.3371  0.3351  6 Ni 2.89-2.94
Tm  0.5000  0.6649  0.6629  6 Ni 2.89-2.94
Ni  0.0000  0.6254  0.3746  1 Ni 2.60, 4 Tm 2.90
Ni  0.0000  0.3786  0.6214  1 Ni 2.60, 4 Tm 2.89
Ni  0.0000  0.8723  0.8770  1 Ni 2.64, 4 Tm 2.90-2.94, 3 Dy 2.91
Ni  0.0000  0.1230  0.1277  1 Ni 2.64, 4 Tm 2.90-2.94, 3 Dy 2.91

***

no.,theoretical density (Mg/m³),size of the total moment (μB/atom),E_tot (eV per formula unit)
1,6.17,0.000,-24.7
2,7.46,0.000,-33.5
3,4.75,0.000,-44.1
4,9.54,0.000,-53.8